(1)
A geometry-optimized Li2CdAg8 structure, computed with PBE.

Calculated values
Energy above the lowest structure with this stoichiometry = 37.4 meV/atom

```
data_Li2CdAg8
_chemical_formula_sum 'Li4 Cd2 Ag16'
_cell_length_a 4.338
_cell_length_b 7.147
_cell_length_c 12.717
_cell_angle_alpha 90.00
_cell_angle_beta 90.00
_cell_angle_gamma 90.00
_symmetry_space_group_name_H-M 'I m m m'
_symmetry_Int_Tables_number 71
_symmetry_space_group_name_Hall '-I 2 2'
loop_
_atom_site_label
_atom_site_fract_x
_atom_site_fract_y
_atom_site_fract_z
Li1 0.000 0.000 0.201
Cd1 0.000 0.000 0.500
Ag1 0.000 0.196 0.000
Ag2 0.000 0.291 0.345
Ag3 0.000 0.500 0.155
```


(2)
A geometry-optimized PmSm2Th3S6 structure, computed with PBE.

Calculated values
Formation energy without anion corrections = -1919.1 meV/atom

```
data_PmSm2Th3S6
_chemical_formula_sum 'Pm2 Sm4 Th6 S12'
_cell_length_a 6.962
_cell_length_b 11.942
_cell_length_c 7.050
_cell_angle_alpha 90.00
_cell_angle_beta 108.83
_cell_angle_gamma 90.00
_symmetry_space_group_name_H-M 'C 1 2/m 1'
_symmetry_Int_Tables_number 12
loop_
_symmetry_equiv_pos_as_xyz
'x,y,z'
'-x,-y,-z'
'-x,y,-z'
'x,-y,z'
'x+1/2,y+1/2,z'
'-x+1/2,-y+1/2,-z'
'-x+1/2,y+1/2,-z'
'x+1/2,-y+1/2,z'
loop_
_atom_site_label
_atom_site_fract_x
_atom_site_fract_y
_atom_site_fract_z
Pm1 0.000 0.000 0.000
Sm1 0.000 0.333 0.000
Th1 0.000 0.166 0.500
Th2 0.000 0.500 0.500
S1 0.247 0.500 0.244
S2 0.249 0.167 0.245
```


(3)
A geometry-optimized Li6NdGa2 structure, computed with PBE.

Calculated values
E_tot = -2.68 eV per atom

```
data_Li6NdGa2
_chemical_formula_sum 'Li6 Nd1 Ga2'
_cell_length_a 4.280
_cell_length_b 4.280
_cell_length_c 9.970
_cell_angle_alpha 90.00
_cell_angle_beta 90.00
_cell_angle_gamma 90.00
_symmetry_space_group_name_H-M 'P 4/m m m'
_symmetry_Int_Tables_number 123
_symmetry_space_group_name_Hall '-P 4 2'
loop_
_atom_site_label
_atom_site_fract_x
_atom_site_fract_y
_atom_site_fract_z
Li1 0.000 0.000 0.000
Li2 0.000 0.500 0.213
Li3 0.500 0.500 0.000
Nd1 0.000 0.000 0.500
Ga1 0.500 0.500 0.375
```


(4)
A geometry-optimized Ba2LiCaBi structure, computed with PBE.

Calculated values
E_tot = -2.48 eV per atom

```
data_Ba2LiCaBi
_chemical_formula_sum 'Ba2 Li1 Ca1 Bi1'
_cell_length_a 6.482
_cell_length_b 6.482
_cell_length_c 5.067
_cell_angle_alpha 90.00
_cell_angle_beta 90.00
_cell_angle_gamma 90.00
_symmetry_space_group_name_H-M 'P 4/m m m'
_symmetry_Int_Tables_number 123
_symmetry_space_group_name_Hall '-P 4 2'
loop_
_atom_site_label
_atom_site_fract_x
_atom_site_fract_y
_atom_site_fract_z
Ba1 0.000 0.500 0.000
Li1 0.000 0.000 0.000
Ca1 0.500 0.500 0.500
Bi1 0.000 0.000 0.500
```


(5)
A geometry-optimized SmTh2ScSb5 structure, computed with PBE.

Calculated values
Formation energy without anion corrections = -68.6 meV/atom

```
data_SmTh2ScSb5
_chemical_formula_sum 'Sm1 Th2 Sc1 Sb5'
_cell_length_a 5.365
_cell_length_b 5.365
_cell_length_c 11.172
_cell_angle_alpha 90.00
_cell_angle_beta 90.00
_cell_angle_gamma 90.00
_symmetry_space_group_name_H-M 'P 4/m m m'
_symmetry_Int_Tables_number 123
_symmetry_space_group_name_Hall '-P 4 2'
loop_
_atom_site_label
_atom_site_fract_x
_atom_site_fract_y
_atom_site_fract_z
Sm1 0.000 0.000 0.000
Th1 0.500 0.500 0.201
Sc1 0.000 0.000 0.500
Sb1 0.000 0.000 0.262
Sb2 0.000 0.500 0.000
Sb3 0.500 0.500 0.500
```


(6)
A geometry-optimized TlReAg structure, computed with PBE.

Calculated values
Energy above the lowest structure with this stoichiometry = 79.2 meV/atom

```
data_TlReAg
_chemical_formula_sum 'Tl2 Re2 Ag2'
_cell_length_a 2.832
_cell_length_b 2.832
_cell_length_c 14.500
_cell_angle_alpha 90.00
_cell_angle_beta 90.00
_cell_angle_gamma 90.00
_symmetry_space_group_name_H-M 'I 4 m m'
_symmetry_Int_Tables_number 107
_symmetry_space_group_name_Hall 'I 4 -2'
loop_
_atom_site_label
_atom_site_fract_x
_atom_site_fract_y
_atom_site_fract_z
Tl1 0.000 0.000 0.000
Re1 0.000 0.000 0.332
Ag1 0.000 0.000 0.687
```


(7)
A geometry-optimized BeV4Cr structure, computed with PBE.

Calculated values
E_tot = -7.76 eV per atom

```
data_BeV4Cr
_chemical_formula_sum 'Be3 V12 Cr3'
_cell_length_a 3.7906
_cell_length_b 3.7906
_cell_length_c 19.9653
_cell_angle_alpha 90.00
_cell_angle_beta 90.00
_cell_angle_gamma 120.00
_symmetry_space_group_name_H-M 'R -3 m'
_symmetry_Int_Tables_number 166
_symmetry_space_group_name_Hall '-R 3 2"'
loop_
_atom_site_label
_atom_site_fract_x
_atom_site_fract_y
_atom_site_fract_z
Be1 0.0000 0.0000 0.0000
V1 0.0000 0.0000 0.1206
V2 0.0000 0.0000 0.3727
Cr1 0.0000 0.0000 0.5000
```


(8)
A geometry-optimized ZrS6Br2 structure, computed with PBE.

Calculated values
Formation energy without anion corrections = -390.9 meV/atom

```
data_ZrS6Br2
_chemical_formula_sum 'Zr1 S6 Br2'
_cell_length_a 3.867
_cell_length_b 8.607
_cell_length_c 9.350
_cell_angle_alpha 73.76
_cell_angle_beta 80.79
_cell_angle_gamma 89.27
_symmetry_space_group_name_H-M 'P -1'
_symmetry_Int_Tables_number 2
loop_
_symmetry_equiv_pos_as_xyz
'x,y,z'
'-x,-y,-z'
loop_
_atom_site_label
_atom_site_fract_x
_atom_site_fract_y
_atom_site_fract_z
Zr1 0.000 0.000 0.000
S1 0.086 0.260 0.786
S2 0.110 0.190 0.588
S3 0.211 0.684 0.535
Br1 0.443 0.137 0.133
```